4
Lattice="4.596 0.000 0.000 0.000 4.596 0.000 0.000 0.000 2.915" Properties=species:S:1:pos:R:3 comment="TlOsRu2 GGA-PBEsol optimized geometry" delta_e_f_ev_per_fu=3.21 relative_energy_ev_per_atom=0.000 energy_ev_per_atom=-7.996 pbc="T T T"
Tl 0.000 0.000 0.000
Os 2.298 2.298 0.000
Ru 0.000 2.298 1.457
Ru 2.298 0.000 1.457

14
Lattice="-2.929 2.929 5.081 2.929 -2.929 5.081 2.929 2.929 -5.081" Properties=species:S:1:pos:R:3 comment="PrPd2O4 GGA-PBEsol optimized geometry" e_form_raw_kj_per_mol_fu=-1077 energy_ev_per_atom=-7.037 pbc="T T T"
Pr 0.000 1.465 1.270
Pr 2.929 1.465 3.811
Pd 1.465 1.465 -2.541
Pd 1.465 -1.465 2.541
Pd 2.929 0.000 0.000
Pd 0.000 0.000 5.081
O 1.189 0.593 -0.760
O 2.058 0.276 1.781
O 1.741 -0.593 4.321
O 2.058 3.206 -1.781
O 0.872 -0.276 6.862
O 1.189 3.522 0.760
O 0.872 2.653 3.301
O 1.741 2.337 5.841

10
Lattice="3.833 0.000 0.000 0.000 3.833 0.000 0.000 0.000 16.482" Properties=species:S:1:pos:R:3 comment="In2Ga2Bi GGA-PBEsol optimized geometry" delta_e_f_ev_per_fu=0.39 relative_energy_ev_per_atom=0.032 energy_ev_per_atom=-3.307 pbc="T T T"
In 0.000 0.000 1.787
In 0.000 0.000 14.694
In 1.917 1.917 6.454
In 1.917 1.917 10.028
Ga 0.000 1.917 4.120
Ga 0.000 1.917 12.361
Ga 1.917 0.000 4.120
Ga 1.917 0.000 12.361
Bi 0.000 0.000 8.241
Bi 1.917 1.917 0.000

16
Lattice="6.841 0.000 0.000 0.000 6.841 0.000 0.000 0.000 6.841" Properties=species:S:1:pos:R:3 comment="BaW2Au GGA-PBEsol optimized geometry" delta_e_f_ev_per_fu=4.90 relative_energy_ev_per_atom=0.115 energy_ev_per_atom=-7.196 pbc="T T T"
Ba 0.000 0.000 0.000
Ba 0.000 3.421 3.421
Ba 3.421 0.000 3.421
Ba 3.421 3.421 0.000
W 0.000 0.000 3.421
W 0.000 3.421 0.000
W 1.710 1.710 5.131
W 1.710 5.131 1.710
W 3.421 0.000 0.000
W 3.421 3.421 3.421
W 5.131 1.710 1.710
W 5.131 5.131 5.131
Au 1.710 1.710 1.710
Au 1.710 5.131 5.131
Au 5.131 1.710 5.131
Au 5.131 5.131 1.710

5
Lattice="4.170 0.000 0.000 0.000 4.170 0.000 0.000 0.000 4.214" Properties=species:S:1:pos:R:3 comment="Ta2NbPdO GGA-PBEsol optimized geometry" e_form_raw_kj_per_mol_fu=-339 energy_ev_per_atom=-10.129 pbc="T T T"
Ta 0.000 2.085 0.000
Ta 2.085 0.000 0.000
Nb 0.000 0.000 2.107
Pd 2.085 2.085 2.107
O 0.000 0.000 0.000

4
Lattice="2.755 0.000 0.000 0.000 2.755 0.000 0.000 0.000 7.783" Properties=species:S:1:pos:R:3 comment="IrPt3 GGA-PBEsol optimized geometry" delta_e_f_ev_per_fu=0.17 energy_ev_per_atom=-7.635 pbc="T T T"
Ir 0.000 0.000 0.000
Pt 0.000 0.000 3.891
Pt 1.377 1.377 1.890
Pt 1.377 1.377 5.893

12
Lattice="4.039 0.000 0.000 0.000 4.039 0.000 0.000 0.000 14.082" Properties=species:S:1:pos:R:3 comment="CeSi2 GGA-PBEsol optimized geometry" e_form_raw_kj_per_mol_fu=-200 energy_ev_per_atom=-6.721 pbc="T T T"
Ce 0.000 1.010 5.281
Ce 0.000 3.029 8.801
Ce 2.020 1.010 1.760
Ce 2.020 3.029 12.322
Si 0.000 1.010 11.150
Si 0.000 1.010 13.493
Si 0.000 3.029 0.589
Si 0.000 3.029 2.931
Si 2.020 1.010 7.630
Si 2.020 1.010 9.972
Si 2.020 3.029 4.110
Si 2.020 3.029 6.452

24
Lattice="5.048 0.000 0.000 -2.495 4.587 0.000 -0.198 -0.231 12.725" Properties=species:S:1:pos:R:3 comment="VO2F GGA-PBEsol optimized geometry" e_form_raw_kj_per_mol_fu=-926 energy_ev_per_atom=-7.914 pbc="T T T"
V 0.000 0.000 0.000
V -0.227 0.154 6.422
V -0.314 3.185 8.547
V -0.042 3.241 2.190
V 2.262 1.701 4.287
V 2.297 1.628 10.654
O -1.327 2.260 10.115
O -1.703 3.906 8.034
O -1.234 3.799 1.113
O 0.825 0.478 11.682
O 1.154 0.859 5.900
O 0.844 2.427 3.774
O 1.202 2.071 9.536
O 0.805 3.665 7.453
O 1.277 4.024 1.677
O 1.909 2.936 11.931
O 3.696 0.640 5.324
O 3.350 2.193 3.192
F -0.689 1.480 7.719
F 0.263 1.622 1.379
F 1.903 -0.007 3.510
F 2.655 -0.151 9.904
F 3.328 0.757 12.335
F 2.682 3.023 5.619

16
Lattice="7.470 0.000 0.000 0.000 7.470 0.000 0.000 0.000 7.470" Properties=species:S:1:pos:R:3 comment="KPbCl2 GGA-PBEsol optimized geometry" e_form_raw_kj_per_mol_fu=-381 relative_energy_ev_per_atom=0.250 energy_ev_per_atom=-3.274 pbc="T T T"
K 0.000 0.000 0.000
K 0.000 3.735 3.735
K 3.735 0.000 3.735
K 3.735 3.735 0.000
Pb 0.000 0.000 3.735
Pb 0.000 3.735 0.000
Pb 3.735 0.000 0.000
Pb 3.735 3.735 3.735
Cl 1.868 1.868 1.868
Cl 1.868 1.868 5.603
Cl 1.868 5.603 1.868
Cl 1.868 5.603 5.603
Cl 5.603 1.868 1.868
Cl 5.603 1.868 5.603
Cl 5.603 5.603 1.868
Cl 5.603 5.603 5.603

9
Lattice="-4.071 4.071 1.917 4.071 -4.071 1.917 4.071 4.071 -1.917" Properties=species:S:1:pos:R:3 comment="Pt4Rh5 GGA-PBEsol optimized geometry" delta_e_f_ev_per_fu=-0.14 energy_ev_per_atom=-7.632 pbc="T T T"
Pt 2.674 0.000 0.000
Pt 5.468 0.000 0.000
Pt 0.000 2.674 0.000
Pt 0.000 5.468 0.000
Rh 0.000 0.000 0.000
Rh 2.734 2.734 0.000
Rh 1.337 -1.337 1.917
Rh -1.337 1.337 1.917
Rh 1.337 1.337 1.917